Crystalline Ba2Mg2MnF10 at its relaxed geometry, computed with PBE with a Hubbard U.

a b c (Å): 18.7300 5.9999 8.2665
angles (deg): 90.00 111.22 90.00
Last column: nearest neighbours and their distance in Å.
Space group C2/m (No. 12)
Inequivalent atoms, fractional coordinates:
Ba1 0.1176 0.0000 0.2231 [4 per cell]  12 F 2.77-3.09
Ba2 0.2136 0.0000 0.8007 [4 per cell]  6 F 2.63-2.87
Mg1 0.0000 0.2446 0.5000 [4 per cell]  6 F 1.99-2.03
Mg2 0.1766 0.5000 0.5081 [4 per cell]  6 F 1.95-2.05
Mn1 0.0758 0.5000 0.9450 [4 per cell]  5 F 2.07-2.17
F1 0.0000 0.2635 0.0000 [4 per cell]  2 Mn 2.17
F2 0.0205 0.0000 0.6742 [4 per cell]  2 Mg 1.99
F3 0.0236 0.5000 0.6716 [4 per cell]  2 Mg 2.03, 1 Mn 2.11
F4 0.1090 0.2458 0.5142 [8 per cell]  2 Mg 1.99-2.00
F5 0.1379 0.5000 0.2481 [4 per cell]  1 Mg 2.00
F6 0.1574 0.2518 0.9862 [8 per cell]  1 Mn 2.07
F7 0.2317 0.5000 0.7581 [4 per cell]  1 Mg 1.95
F8 0.2500 0.2500 0.5000 [4 per cell]  2 Mg 2.05

Output
Its crystal system is monoclinic. The calculation puts the raw total energy at -5.72 eV/atom. The total magnetization is 5.00 μB/f.u. The density of states at the Fermi level is 0.0 states/eV/cell.